DFT (PBE) results for an optimized crystal structure of KMgN.

Values from the calculation:
ΔE_f (raw) (eV/atom): -0.1849
DFT total energy (eV/atom): -3.857

The structure in CIF format:
```
data_KMgN
_chemical_formula_sum 'K6 Mg6 N6'
_cell_length_a 3.6750
_cell_length_b 3.6750
_cell_length_c 33.7821
_cell_angle_alpha 90.00
_cell_angle_beta 90.00
_cell_angle_gamma 120.00
_space_group_name_H-M_alt 'R -3 m'
_space_group_IT_number 166
_space_group_name_Hall '-R 3 2"'
loop_
_atom_site_label
_atom_site_fract_x
_atom_site_fract_y
_atom_site_fract_z
K1 0.0000 0.0000 0.0955
Mg1 0.0000 0.0000 0.3076
N1 0.0000 0.0000 0.3736
```